1.
! PBE-GGA Y3CoPb, relaxed; values from VASP
! Crystal system = cubic
! Total energy = -6.2962 eV/atom
! SG = No. 221
! ΔE_f = -0.25 eV per atom
&SYSTEM
  ibrav = 0, nat = 5, ntyp = 3
/
ATOMIC_SPECIES
Y 88.91 Y.upf
Co 58.93 Co.upf
Pb 207.20 Pb.upf
ATOMIC_POSITIONS angstrom
Y 0.000 0.000 2.585
Y 0.000 2.585 0.000
Y 2.585 0.000 0.000
Co 0.000 0.000 0.000
Pb 2.585 2.585 2.585
CELL_PARAMETERS angstrom
5.169 0.000 0.000
0.000 5.169 0.000
0.000 0.000 5.169

2.
! PBE-GGA Y2CoPb, relaxed; values from VASP
! Crystal system = orthorhombic
! Total energy = -6.0728 eV/atom
! SG = No. 71
! ΔE_f = -0.14 eV per atom
&SYSTEM
  ibrav = 0, nat = 4, ntyp = 3
/
ATOMIC_SPECIES
Y 88.91 Y.upf
Co 58.93 Co.upf
Pb 207.20 Pb.upf
ATOMIC_POSITIONS angstrom
Y 0.000 0.000 1.792
Y 0.000 0.000 6.871
Co 2.069 0.000 0.000
Pb 0.000 2.667 0.000
CELL_PARAMETERS angstrom
-2.069 2.667 4.331
2.069 -2.667 4.331
2.069 2.667 -4.331

3.
! PBE-GGA Y3CoPb, relaxed; values from VASP
! Crystal system = tetragonal
! Total energy = -5.7783 eV/atom
! SG = No. 99
! ΔE_f = 0.26 eV per atom
&SYSTEM
  ibrav = 0, nat = 5, ntyp = 3
/
ATOMIC_SPECIES
Y 88.91 Y.upf
Co 58.93 Co.upf
Pb 207.20 Pb.upf
ATOMIC_POSITIONS angstrom
Y 0.000 0.000 0.000
Y 0.000 2.260 5.474
Y 2.260 0.000 5.474
Co 2.260 2.260 6.991
Pb 0.000 0.000 3.076
CELL_PARAMETERS angstrom
4.519 0.000 0.000
0.000 4.519 0.000
0.000 0.000 8.163

4.
! PBE-GGA Y3CoPb, relaxed; values from VASP
! Crystal system = monoclinic
! Total energy = -6.2733 eV/atom
! SG = No. 15
! ΔE_f = -0.23 eV per atom
&SYSTEM
  ibrav = 0, nat = 20, ntyp = 3
/
ATOMIC_SPECIES
Y 88.91 Y.upf
Co 58.93 Co.upf
Pb 207.20 Pb.upf
ATOMIC_POSITIONS angstrom
Y 0.038 0.374 3.271
Y -1.518 -0.374 6.553
Y 0.940 2.169 6.138
Y 2.793 2.505 3.052
Y 7.329 2.505 0.230
Y 2.495 -2.169 2.856
Y 6.072 2.169 3.708
Y 1.238 -2.505 6.334
Y 5.774 -2.505 3.512
Y 7.627 -2.169 0.426
Y 10.085 0.374 0.011
Y 8.529 -0.374 3.293
Co 2.355 4.379 5.248
Co 4.656 4.379 4.597
Co 3.911 -4.379 1.967
Co 6.212 -4.379 1.315
Pb 5.061 4.459 1.641
Pb 3.506 0.015 4.923
Pb 5.061 -0.015 1.641
Pb 3.506 -4.459 4.923
CELL_PARAMETERS angstrom
5.839 -6.697 0.000
5.839 6.697 0.000
-3.111 0.000 6.564